Here is a geometry-optimized FePO4 structure from the Alexandria database. Energies are from GGA+U.

Unit cell a=5.4220 b=5.4580 c=6.3992 alpha=75.16 beta=86.32 gamma=65.08
Atoms (fractional coordinates):
Fe1 0.1850 0.2514 0.2072
Fe2 0.8150 0.7486 0.7928
P1 0.1776 0.1199 0.7324
P2 0.8224 0.8801 0.2676
O1 0.0574 0.9675 0.2664
O2 0.0891 0.3479 0.8682
O3 0.2339 0.2517 0.5036
O4 0.4354 0.8698 0.8491
O5 0.5646 0.1302 0.1509
O6 0.7661 0.7483 0.4964
O7 0.9109 0.6521 0.1318
O8 0.9426 0.0325 0.7336

Computed properties:
DOS(E_F), states/eV/atom: 0.0000
Energy, eV/atom: -7.11
M_tot, μB/f.u.: 4.963